This record from Alexandria describes an optimized crystal structure of La8Pm3Tm3. The functional is PBE.

## Properties
* ΔE_f: 1.5 eV/f.u.
* space-group type: Immm (71)

a = 5.710 Å, b = 9.876 Å, c = 9.876 Å
α = 101.59°, β = 73.20°, γ = 73.20°
Sites, in units of the cell vectors:
La (0.655, 0.112, 0.578)
La (0.345, 0.888, 0.422)
La (0.655, 0.578, 0.112)
La (0.345, 0.422, 0.888)
La (0.839, 0.769, 0.554)
La (0.161, 0.231, 0.446)
La (0.839, 0.554, 0.769)
La (0.161, 0.446, 0.231)
Pm (0.500, 0.500, 0.500)
Pm (0.805, 0.195, 0.195)
Pm (0.195, 0.805, 0.805)
Tm (0.500, 0.000, 0.000)
Tm (0.000, 0.823, 0.177)
Tm (0.000, 0.177, 0.823)